[1]
Density functional theory data (GGA-PBE) for crystalline BaAlSi4N5O3 at its relaxed geometry.

Values from the calculation:
uncorrected formation energy: -2425.0 kJ/mol of formula units
symmetry: No. 36

Cell: 7.4780 7.4780 9.4475 Å, 90.00 90.00 135.41°
Sites, in units of the cell vectors:
O  0.3058  0.1994  0.2519
O  0.6002  0.3998  0.8971
O  0.8006  0.6942  0.2519
O  0.1994  0.3058  0.7519
O  0.3998  0.6002  0.3971
O  0.6942  0.8006  0.7519
N  0.7094  0.2906  0.1392
N  0.5922  0.4078  0.5794
N  0.4078  0.5922  0.0794
N  0.5282  0.9747  0.9008
N  0.7996  0.2004  0.6361
N  0.2004  0.7996  0.1361
N  0.2906  0.7094  0.6392
N  0.0253  0.4718  0.9008
N  0.9747  0.5282  0.4008
N  0.4718  0.0253  0.4008
Si  0.0792  0.4236  0.7319
Si  0.7020  0.2980  0.5120
Si  0.5764  0.9208  0.7319
Si  0.2890  0.7110  0.4534
Si  0.2980  0.7020  0.0120
Si  0.4236  0.0792  0.2319
Si  0.9208  0.5764  0.2319
Si  0.7110  0.2890  0.9534
Ba  0.9711  0.0289  0.0148
Ba  0.0289  0.9711  0.5148
Al  0.4715  0.5285  0.2427
Al  0.5285  0.4715  0.7427

[2]
Density functional theory data (GGA-PBE) for crystalline AlPd2Au6 at its relaxed geometry.

Values from the calculation:
energy above the most stable polymorph in this dataset: 0 meV/atom
DFT formation energy: -0.224 eV per atom
symmetry: No. 2

Cell: 3.1376 7.1510 8.9557 Å, 128.45 79.94 89.89°
Sites, in units of the cell vectors:
Au  0.3448  0.3350  0.3120
Au  0.2214  0.8823  0.5574
Au  0.1034  0.4181  0.7918
Au  0.8966  0.5819  0.2082
Au  0.6552  0.6650  0.6880
Au  0.7786  0.1177  0.4426
Pd  0.4529  0.8124  0.0942
Pd  0.5471  0.1876  0.9058
Al  0.0000  0.0000  0.0000

Summary of energy in eV/f.u.
-108.99; -35.81
(order as listed above)
Summary of total magnetization in Bohr magnetons per cell
0.0; 0.0
(order as listed above)